A relaxed SrErAgIr crystal, computed with GGA-PBE.

Summary:
The calculation puts the spin magnetization at 0.00 μB/cell. As for the crystal system: cubic. The formation energy is -0.3017 eV per atom. The density of states at the Fermi level comes out at 0.643 states/eV/atom.

abc: 5.0738 5.0738 5.0738
angles: 60.00 60.00 60.00
With the nearest neighbours (Å) after each atom.
Positions (direct):
Sr (0.0000, 0.0000, 0.0000)  4 Ir 3.11, 4 Ag 3.11
Er (0.5000, 0.5000, 0.5000)  4 Ir 3.11, 4 Ag 3.11
Ag (0.2500, 0.2500, 0.2500)  4 Er 3.11, 4 Sr 3.11
Ir (0.7500, 0.7500, 0.7500)  4 Er 3.11, 4 Sr 3.11

=====

A relaxed TiNb2PAu crystal, computed with GGA-PBE.

Summary:
The calculation puts the spin magnetization at 0.09 μB/cell. As for the crystal system: tetragonal. The formation energy is 1.4745 eV per atom. The density of states at the Fermi level comes out at 1.851 states/eV/atom.

abc: 5.0921 5.0921 4.3998
angles: 90.00 90.00 90.00
With the nearest neighbours (Å) after each atom.
Positions (direct):
Ti (0.0000, 0.0000, 0.0000)  8 Nb 3.36, 4 P 3.60
Nb (0.0000, 0.5000, 0.5000)  2 Au 2.55
Nb (0.5000, 0.0000, 0.5000)  2 Au 2.55
P (0.5000, 0.5000, 0.0000)  2 Au 2.20
Au (0.5000, 0.5000, 0.5000)  2 P 2.20

=====

A relaxed SrTcClO4 crystal, computed with GGA-PBE.

Summary:
The calculation puts the spin magnetization at 0.00 μB/cell. As for the crystal system: monoclinic. The calculation puts the total DFT energy (no corrections) at -6.7432 eV per atom.

abc: 6.6521 6.6521 7.3961
angles: 102.62 102.62 73.08
With the nearest neighbours (Å) after each atom.
Positions (direct):
Sr (0.2094, 0.2094, 0.1286)  4 O 2.58-2.66, 2 Cl 2.83-2.86
Sr (0.7906, 0.7906, 0.8714)  4 O 2.58-2.66, 2 Cl 2.83-2.86
Tc (0.3645, 0.3645, 0.7379)  4 O 1.73-1.75
Tc (0.6355, 0.6355, 0.2621)  4 O 1.73-1.75
Cl (0.0264, 0.0264, 0.7664)  2 Sr 2.83-2.86
Cl (0.9736, 0.9736, 0.2336)  2 Sr 2.83-2.86
O (0.1386, 0.4934, 0.8425)  1 Tc 1.75
O (0.2968, 0.2968, 0.4971)  1 Tc 1.73
O (0.4675, 0.4675, 0.2162)  1 Tc 1.74
O (0.4934, 0.1386, 0.8425)  1 Tc 1.75
O (0.5066, 0.8614, 0.1575)  1 Tc 1.75
O (0.5325, 0.5325, 0.7838)  1 Tc 1.74
O (0.7032, 0.7032, 0.5029)  1 Tc 1.73
O (0.8614, 0.5066, 0.1575)  1 Tc 1.75

=====

A relaxed CdGa2Te crystal, computed with GGA-PBE.

Summary:
The energy above the most stable polymorph in this dataset is 42.1 meV/atom. The calculation puts the spin magnetization at 0.00 μB/cell. As for the crystal system: cubic. The density of states at the Fermi level comes out at 0.299 states/eV/atom.

abc: 5.2016 5.2016 5.2016
angles: 60.00 60.00 60.00
With the nearest neighbours (Å) after each atom.
Positions (direct):
Cd (0.0000, 0.0000, 0.0000)  8 Ga 3.19
Ga (0.2500, 0.2500, 0.2500)  4 Cd 3.19, 4 Te 3.19
Ga (0.7500, 0.7500, 0.7500)  4 Cd 3.19, 4 Te 3.19
Te (0.5000, 0.5000, 0.5000)  8 Ga 3.19